Computed, not measured: TaAl2W after structural relaxation at the GGA-PBEsol level of DFT.

Output
As for the energy above the most stable polymorph in this dataset: 0 meV per atom. The value obtained for the density of states at the Fermi level is 1.53 states/eV/f.u. The volume comes out at 62.7 Å³ per cell. Its magnetic moment is 0.0000 μB per atom. The formation energy is -0.54 eV per formula unit. As for the crystal system: monoclinic.

Cell: 2.7737 4.4933 5.0693 Å, 90.00 97.18 90.00°
Atoms (fractional coordinates):
Ta 0.0000 0.0000 0.0000
Al 0.4025 0.5000 0.7752
Al 0.4445 0.0000 0.4960
W 0.8235 0.5000 0.2790

---

Computed, not measured: ScGeSe3 after structural relaxation at the GGA-PBEsol level of DFT.

Output
The value obtained for the density of states at the Fermi level is 1.71 states/eV/f.u. The volume comes out at 128.7 Å³ per cell. Its magnetic moment is 0.0000 μB per atom. Its formation energy without anion corrections is -0.295 eV/atom. As for the crystal system: cubic.

Cell: 5.0493 5.0493 5.0493 Å, 90.00 90.00 90.00°
Atoms (fractional coordinates):
Sc 0.0000 0.0000 0.0000
Ge 0.5000 0.5000 0.5000
Se 0.0000 0.0000 0.5000
Se 0.0000 0.5000 0.0000
Se 0.5000 0.0000 0.0000

---

Computed, not measured: In2FeHg after structural relaxation at the GGA-PBEsol level of DFT.

Output
The value obtained for the density of states at the Fermi level is 5.12 states/eV/f.u. The volume comes out at 80.7 Å³ per cell. Its magnetic moment is 0.7007 μB per atom. The formation energy is 1.96 eV per formula unit. As for the crystal system: cubic.

Cell: 4.8508 4.8508 4.8508 Å, 60.00 60.00 60.00°
Atoms (fractional coordinates):
In 0.0000 0.0000 0.0000
In 0.2500 0.2500 0.2500
Fe 0.7500 0.7500 0.7500
Hg 0.5000 0.5000 0.5000

---

Computed, not measured: BeCr2Ag after structural relaxation at the GGA-PBEsol level of DFT.

Output
The value obtained for the density of states at the Fermi level is 3.09 states/eV/f.u. The volume comes out at 47.9 Å³ per cell. Its magnetic moment is 0.0003 μB per atom. The formation energy is 1.24 eV per formula unit. As for the crystal system: orthorhombic.

Cell: 2.5314 2.5314 7.9386 Å, 90.00 90.00 109.58°
Atoms (fractional coordinates):
Be 0.0000 0.0000 0.0000
Cr 0.0000 0.0000 0.5449
Cr 0.5000 0.5000 0.7727
Ag 0.5000 0.5000 0.2500

---

Computed, not measured: LiCoSi2 after structural relaxation at the GGA-PBEsol level of DFT.

Output
As for the energy above the most stable polymorph in this dataset: 0 meV per atom. The value obtained for the density of states at the Fermi level is 1.53 states/eV/f.u. The volume comes out at 48.0 Å³ per cell. Its magnetic moment is 0.0000 μB per atom. Its formation energy without anion corrections is -0.270 eV/atom. As for the crystal system: monoclinic.

Cell: 4.0194 4.0194 4.7968 Å, 98.42 98.42 38.87°
Atoms (fractional coordinates):
Li 0.0000 0.0000 0.0000
Co 0.5000 0.5000 0.5000
Si 0.2368 0.2368 0.7200
Si 0.7632 0.7632 0.2800

---

Computed, not measured: ReHgSe after structural relaxation at the GGA-PBEsol level of DFT.

Output
As for the energy above the most stable polymorph in this dataset: 1052 meV per atom. The value obtained for the density of states at the Fermi level is 3.37 states/eV/f.u. The volume comes out at 58.7 Å³ per cell. Its magnetic moment is 0.0837 μB per atom. Its formation energy without anion corrections is 1.288 eV/atom. As for the crystal system: cubic.

Cell: 4.3618 4.3618 4.3618 Å, 60.00 60.00 60.00°
Atoms (fractional coordinates):
Re 0.0000 0.0000 0.0000
Hg 0.5000 0.5000 0.5000
Se 0.2500 0.2500 0.2500

---

Computed, not measured: MnAl2Cr after structural relaxation at the GGA-PBEsol level of DFT.

Output
The value obtained for the density of states at the Fermi level is 1.20 states/eV/f.u. The volume comes out at 49.4 Å³ per cell. Its magnetic moment is 0.0000 μB per atom. The formation energy is -0.73 eV per formula unit. As for the crystal system: tetragonal.

Cell: 2.8953 2.8953 5.8933 Å, 90.00 90.00 90.00°
Atoms (fractional coordinates):
Mn 0.0000 0.0000 0.0000
Al 0.0000 0.0000 0.5364
Al 0.5000 0.5000 0.2344
Cr 0.5000 0.5000 0.7795

---

Computed, not measured: Zr2TlCo after structural relaxation at the GGA-PBEsol level of DFT.

Output
The value obtained for the density of states at the Fermi level is 4.04 states/eV/f.u. The volume comes out at 74.2 Å³ per cell. Its magnetic moment is 0.2926 μB per atom. The formation energy is -0.05 eV per formula unit. As for the crystal system: tetragonal.

Cell: 5.1003 5.1003 5.1003 Å, 130.87 130.87 72.02°
Atoms (fractional coordinates):
Zr 0.2500 0.7500 0.5000
Zr 0.7500 0.2500 0.5000
Tl 0.0000 0.0000 0.0000
Co 0.5000 0.5000 0.0000